No. 1
SrTeN2F: relaxed, PBE-GGA.

## Properties
total DFT energy (no corrections): -3.413 eV per atom
Fermi-level density of states: 1.01 states/eV/atom
energy relative to the lowest polymorph listed for this composition: 8.091 eV/f.u.

a = 5.000 Å, b = 5.000 Å, c = 6.818 Å
α = 90.00°, β = 90.00°, γ = 90.00°
Space group P4/mmm (No. 123)
One atom of each set of equivalent atoms:
Sr: 0.000 0.000 0.000 x1
Te: 0.000 0.000 0.500 x1
N: 0.000 0.500 0.000 x2
F: 0.500 0.500 0.500 x1

---

No. 2
Li2NbCd2: relaxed, PBE-GGA.

## Properties
total DFT energy (no corrections): -3.073 eV per atom
Fermi-level density of states: 0.57 states/eV/atom
DFT formation energy: 0.073 eV per atom

a = 7.877 Å, b = 7.877 Å, c = 2.790 Å
α = 90.00°, β = 90.00°, γ = 90.00°
Space group P4/mbm (No. 127)
One atom of each set of equivalent atoms:
Li: 0.119 0.381 0.000 x4
Nb: 0.000 0.000 0.000 x2
Cd: 0.182 0.682 0.500 x4

---

No. 3
Ba2SiPd6Pb: relaxed, PBE-GGA.

## Properties
total DFT energy (no corrections): -4.965 eV per atom
Fermi-level density of states: 0.54 states/eV/atom

a = 12.095 Å, b = 5.883 Å, c = 8.344 Å
α = 90.00°, β = 127.04°, γ = 90.00°
Space group C2/m (No. 12)
One atom of each set of equivalent atoms:
Ba: 0.249 0.000 0.204 x4
Si: 0.000 0.000 0.500 x2
Pd: 0.033 0.249 0.306 x8
Pd: 0.244 0.000 0.623 x4
Pb: 0.000 0.500 0.000 x2